No. 1
# CaTb4Sm3S8

A geometry-optimized CaTb4Sm3S8 structure (GGA-PBE, Alexandria via LeMat-Bulk).

```
data_CaTb4Sm3S8
_space_group_name_H-M_alt 'R -3 m'
_space_group_IT_number 166
_space_group_name_Hall '-R 3 2"'
_cell_length_a 7.9380
_cell_length_b 7.9380
_cell_length_c 19.4388
_cell_angle_alpha 90.00
_cell_angle_beta 90.00
_cell_angle_gamma 120.00
loop_
_atom_site_label
_atom_site_fract_x
_atom_site_fract_y
_atom_site_fract_z
_atom_site_occupancy
Ca1 0.0000 0.0000 0.0000 1
Tb1 0.0000 0.0000 0.5000 1
Tb2 0.0000 0.5000 0.5000 1
Sm1 0.0000 0.5000 0.0000 1
S1 0.0000 0.0000 0.2474 1
S2 0.0029 0.5015 0.7518 1
```

Its total energy is -6.25 eV/atom. The calculation puts the formation energy (no corrections) at -46.6 kcal/mol of atoms. The crystal system is trigonal.

No. 2
# KBa2Sb2

A geometry-optimized KBa2Sb2 structure (GGA-PBE, Alexandria via LeMat-Bulk).

```
data_KBa2Sb2
_space_group_name_H-M_alt 'P 4/m b m'
_space_group_IT_number 127
_space_group_name_Hall '-P 4 2ab'
_cell_length_a 10.088
_cell_length_b 10.088
_cell_length_c 3.999
_cell_angle_alpha 90.00
_cell_angle_beta 90.00
_cell_angle_gamma 90.00
loop_
_atom_site_label
_atom_site_fract_x
_atom_site_fract_y
_atom_site_fract_z
_atom_site_occupancy
K1 0.000 0.000 0.000 1
Ba1 0.130 0.370 0.000 1
Sb1 0.168 0.668 0.500 1
```

Its total energy is -3.41 eV/atom. The calculation puts the formation energy (no corrections) at -17.9 kcal/mol of atoms. The crystal system is tetragonal.

No. 3
# Tb4DyBi5

A geometry-optimized Tb4DyBi5 structure (GGA-PBE, Alexandria via LeMat-Bulk).

```
data_Tb4DyBi5
_space_group_name_H-M_alt 'I 4/m m m'
_space_group_IT_number 139
_space_group_name_Hall '-I 4 2'
_cell_length_a 4.486
_cell_length_b 4.486
_cell_length_c 31.713
_cell_angle_alpha 90.00
_cell_angle_beta 90.00
_cell_angle_gamma 90.00
loop_
_atom_site_label
_atom_site_fract_x
_atom_site_fract_y
_atom_site_fract_z
_atom_site_occupancy
Tb1 0.000 0.000 0.100 1
Tb2 0.000 0.000 0.300 1
Dy1 0.000 0.000 0.500 1
Bi1 0.000 0.000 0.000 1
Bi2 0.000 0.000 0.200 1
Bi3 0.000 0.000 0.400 1
```

Its total energy is -5.13 eV/atom. As for the energy relative to the elements: -846 kJ/mol of formula units. The crystal system is tetragonal.

No. 4
# Pa2AgBiO8

A geometry-optimized Pa2AgBiO8 structure (GGA-PBE, Alexandria via LeMat-Bulk).

```
data_Pa2AgBiO8
_space_group_name_H-M_alt 'P -3'
_space_group_IT_number 147
_cell_length_a 5.9476
_cell_length_b 5.9476
_cell_length_c 5.8250
_cell_angle_alpha 90.00
_cell_angle_beta 90.00
_cell_angle_gamma 120.00
loop_
_space_group_symop_operation_xyz
'x,y,z'
'-x,-y,-z'
'-y,x-y,z'
'y,-x+y,-z'
'-x+y,-x,z'
'x-y,x,-z'
loop_
_atom_site_label
_atom_site_fract_x
_atom_site_fract_y
_atom_site_fract_z
_atom_site_occupancy
Pa1 0.3333 0.6667 0.3908 1
Ag1 0.0000 0.0000 0.5000 1
Bi1 0.0000 0.0000 0.0000 1
O1 0.0557 0.3436 0.6822 1
O2 0.3333 0.6667 0.0675 1
```

Its total energy is -7.28 eV/atom. The calculation puts the formation energy (no corrections) at -42.2 kcal/mol of atoms. The crystal system is trigonal.

No. 5
# NaMg4Cd5

A geometry-optimized NaMg4Cd5 structure (GGA-PBE, Alexandria via LeMat-Bulk).

```
data_NaMg4Cd5
_space_group_name_H-M_alt 'P 4/m m m'
_space_group_IT_number 123
_space_group_name_Hall '-P 4 2'
_cell_length_a 3.539
_cell_length_b 3.539
_cell_length_c 17.995
_cell_angle_alpha 90.00
_cell_angle_beta 90.00
_cell_angle_gamma 90.00
loop_
_atom_site_label
_atom_site_fract_x
_atom_site_fract_y
_atom_site_fract_z
_atom_site_occupancy
Na1 0.000 0.000 0.000 1
Mg1 0.000 0.000 0.212 1
Mg2 0.000 0.000 0.406 1
Cd1 0.500 0.500 0.116 1
Cd2 0.500 0.500 0.311 1
Cd3 0.500 0.500 0.500 1
```

Its total energy is -1.31 eV/atom. As for the energy relative to the elements: -80 kJ/mol of formula units. The crystal system is tetragonal.

No. 6
# RbCdS3

A geometry-optimized RbCdS3 structure (GGA-PBE, Alexandria via LeMat-Bulk).

```
data_RbCdS3
_space_group_name_H-M_alt 'P m -3 m'
_space_group_IT_number 221
_space_group_name_Hall '-P 4 2 3'
_cell_length_a 5.130
_cell_length_b 5.130
_cell_length_c 5.130
_cell_angle_alpha 90.00
_cell_angle_beta 90.00
_cell_angle_gamma 90.00
loop_
_atom_site_label
_atom_site_fract_x
_atom_site_fract_y
_atom_site_fract_z
_atom_site_occupancy
Rb1 0.000 0.000 0.000 1
Cd1 0.500 0.500 0.500 1
S1 0.000 0.500 0.500 1
```

Its total energy is -2.85 eV/atom. The calculation puts the formation energy (no corrections) at 0.1 kcal/mol of atoms. The crystal system is cubic.

No. 7
# LiHRh

A geometry-optimized LiHRh structure (GGA-PBE, Alexandria via LeMat-Bulk).

```
data_LiHRh
_space_group_name_H-M_alt 'R 3 m'
_space_group_IT_number 160
_space_group_name_Hall 'R 3 -2"'
_cell_length_a 2.8410
_cell_length_b 2.8410
_cell_length_c 12.8406
_cell_angle_alpha 90.00
_cell_angle_beta 90.00
_cell_angle_gamma 120.00
loop_
_atom_site_label
_atom_site_fract_x
_atom_site_fract_y
_atom_site_fract_z
_atom_site_occupancy
Li1 0.0000 0.0000 0.0000 1
H1 0.0000 0.0000 0.2244 1
Rh1 0.0000 0.0000 0.4985 1
```

Its total energy is -4.50 eV/atom. The crystal system is trigonal.

No. 8
# Ba7Sr12Ca

A geometry-optimized Ba7Sr12Ca structure (GGA-PBE, Alexandria via LeMat-Bulk).

```
data_Ba7Sr12Ca
_space_group_name_H-M_alt 'I m -3'
_space_group_IT_number 204
_space_group_name_Hall '-I 2 2 3'
_cell_length_a 14.631
_cell_length_b 14.631
_cell_length_c 14.631
_cell_angle_alpha 90.00
_cell_angle_beta 90.00
_cell_angle_gamma 90.00
loop_
_atom_site_label
_atom_site_fract_x
_atom_site_fract_y
_atom_site_fract_z
_atom_site_occupancy
Ba1 0.000 0.000 0.500 1
Ba2 0.250 0.250 0.250 1
Sr1 0.000 0.143 0.231 1
Ca1 0.000 0.000 0.000 1
```

Its total energy is -1.34 eV/atom. As for the energy relative to the elements: 856 kJ/mol of formula units. The crystal system is cubic.

No. 9
# AlCd2Pb

A geometry-optimized AlCd2Pb structure (GGA-PBE, Alexandria via LeMat-Bulk).

```
data_AlCd2Pb
_space_group_name_H-M_alt 'P 1 m 1'
_space_group_IT_number 6
_cell_length_a 3.168
_cell_length_b 4.383
_cell_length_c 6.990
_cell_angle_alpha 90.00
_cell_angle_beta 91.84
_cell_angle_gamma 90.00
loop_
_space_group_symop_operation_xyz
'x,y,z'
'x,-y,z'
loop_
_atom_site_label
_atom_site_fract_x
_atom_site_fract_y
_atom_site_fract_z
_atom_site_occupancy
Al1 0.000 0.000 0.000 1
Cd1 0.502 0.500 0.785 1
Cd2 0.994 0.000 0.555 1
Pb1 0.500 0.500 0.261 1
```

Its total energy is -2.18 eV/atom. As for the energy relative to the elements: 53 kJ/mol of formula units. The crystal system is monoclinic.

No. 10
# PuPIr3

A geometry-optimized PuPIr3 structure (GGA-PBE, Alexandria via LeMat-Bulk).

```
data_PuPIr3
_space_group_name_H-M_alt 'I 4 m m'
_space_group_IT_number 107
_space_group_name_Hall 'I 4 -2'
_cell_length_a 3.941
_cell_length_b 3.941
_cell_length_c 10.664
_cell_angle_alpha 90.00
_cell_angle_beta 90.00
_cell_angle_gamma 90.00
loop_
_atom_site_label
_atom_site_fract_x
_atom_site_fract_y
_atom_site_fract_z
_atom_site_occupancy
Pu1 0.000 0.000 0.000 1
P1 0.000 0.000 0.362 1
Ir1 0.000 0.000 0.572 1
Ir2 0.000 0.500 0.244 1
```

Its total energy is -9.58 eV/atom. As for the energy relative to the elements: -154 kJ/mol of formula units. The crystal system is tetragonal.

No. 11
# Pa3Co2Ir

A geometry-optimized Pa3Co2Ir structure (GGA-PBE, Alexandria via LeMat-Bulk).

```
data_Pa3Co2Ir
_space_group_name_H-M_alt 'C 1 2/m 1'
_space_group_IT_number 12
_cell_length_a 6.845
_cell_length_b 11.771
_cell_length_c 6.483
_cell_angle_alpha 90.00
_cell_angle_beta 110.08
_cell_angle_gamma 90.00
loop_
_space_group_symop_operation_xyz
'x,y,z'
'-x,-y,-z'
'-x,y,-z'
'x,-y,z'
'x+1/2,y+1/2,z'
'-x+1/2,-y+1/2,-z'
'-x+1/2,y+1/2,-z'
'x+1/2,-y+1/2,z'
loop_
_atom_site_label
_atom_site_fract_x
_atom_site_fract_y
_atom_site_fract_z
_atom_site_occupancy
Pa1 0.237 0.000 0.241 1
Pa2 0.249 0.161 0.764 1
Co1 0.000 0.000 0.500 1
Co2 0.000 0.168 0.000 1
Co3 0.000 0.500 0.000 1
Ir1 0.000 0.332 0.500 1
```

Its total energy is -9.06 eV/atom. As for the energy relative to the elements: -270 kJ/mol of formula units. The crystal system is monoclinic.

No. 12
# Be2TlFe

A geometry-optimized Be2TlFe structure (GGA-PBE, Alexandria via LeMat-Bulk).

```
data_Be2TlFe
_space_group_name_H-M_alt 'F -4 3 m'
_space_group_IT_number 216
_space_group_name_Hall 'F -4 2 3'
_cell_length_a 5.963
_cell_length_b 5.963
_cell_length_c 5.963
_cell_angle_alpha 90.00
_cell_angle_beta 90.00
_cell_angle_gamma 90.00
loop_
_atom_site_label
_atom_site_fract_x
_atom_site_fract_y
_atom_site_fract_z
_atom_site_occupancy
Be1 0.000 0.000 0.000 1
Be2 0.250 0.250 0.250 1
Tl1 0.000 0.000 0.500 1
Fe1 0.250 0.250 0.750 1
```

Its total energy is -3.87 eV/atom. As for the energy relative to the elements: 269 kJ/mol of formula units. The crystal system is cubic.